# 1
K12SnHg6: optimized geometry, PBE.

a = 10.348 Å, b = 10.348 Å, c = 10.348 Å
α = 109.47°, β = 109.47°, γ = 109.47°
Element x y z (fractional)
1 K 0.103 0.821 0.282
2 K 0.821 0.282 0.103
3 K 0.897 0.179 0.718
4 K 0.179 0.282 0.461
5 K 0.179 0.718 0.897
6 K 0.821 0.718 0.539
7 K 0.461 0.179 0.282
8 K 0.282 0.461 0.179
9 K 0.539 0.821 0.718
10 K 0.718 0.539 0.821
11 K 0.718 0.897 0.179
12 K 0.282 0.103 0.821
13 Hg 0.626 0.500 0.126
14 Hg 0.126 0.626 0.500
15 Hg 0.874 0.374 0.500
16 Hg 0.374 0.500 0.874
17 Hg 0.500 0.126 0.626
18 Hg 0.500 0.874 0.374
19 Sn 0.000 0.000 0.000

## Properties
Its formation energy is -151.4 meV/atom. The space-group type is Im-3 (204).


# 2
Na3RuN: optimized geometry, PBE.

a = 5.628 Å, b = 5.628 Å, c = 5.628 Å
α = 90.00°, β = 90.00°, γ = 90.00°
Each line ends with the local moment (μB).
Element x y z (fractional)
1 Ru 0.000 0.000 0.000  1.82
2 Na 0.000 0.500 0.000  -0.01
3 Na 0.000 0.000 0.500  -0.01
4 Na 0.500 0.000 0.000  -0.03
5 N 0.500 0.500 0.500  1.51

## Properties
Its uncorrected formation energy is 1805 meV per atom. For the relative energy among the computed polymorphs, the calculation gives 0.686 eV per atom. The space-group type is Pm-3m (221).


# 3
PrEu2Rh: optimized geometry, PBE.

a = 3.708 Å, b = 3.708 Å, c = 11.032 Å
α = 80.33°, β = 80.33°, γ = 60.00°
Each line ends with the local moment (μB).
Element x y z (fractional)
1 Pr 0.000 0.000 0.000  0.14
2 Rh 0.500 0.500 0.500  -0.16
3 Eu 0.108 0.108 0.675  6.88
4 Eu 0.892 0.892 0.325  6.88

## Properties
Its formation energy is 8.5 meV/atom. The space-group type is R-3m (166).


# 4
ZnTeCN2: optimized geometry, PBE.

a = 3.611 Å, b = 3.611 Å, c = 8.206 Å
α = 90.00°, β = 90.00°, γ = 90.00°
Each line ends with the local moment (μB).
Element x y z (fractional)
1 Zn 0.000 0.000 0.000  0.08
2 C 0.500 0.500 0.500  0.27
3 N 0.500 0.000 0.000  0.64
4 N 0.000 0.500 0.000  0.64
5 Te 0.000 0.000 0.500  -0.04

## Properties
Its uncorrected formation energy is 2399 meV per atom. For the relative energy among the computed polymorphs, the calculation gives 0.125 eV per atom. The space-group type is P4/mmm (123).


# 5
Tm8GaTe4As3: optimized geometry, PBE.

a = 8.335 Å, b = 8.468 Å, c = 8.335 Å
α = 119.49°, β = 120.00°, γ = 90.00°
Element x y z (fractional)
1 Tm 0.255 0.281 0.018
2 Tm 0.261 0.282 0.522
3 Tm 0.739 0.718 0.478
4 Tm 0.237 0.719 0.982
5 Tm 0.237 0.719 0.474
6 Tm 0.763 0.281 0.526
7 Tm 0.763 0.281 0.018
8 Tm 0.745 0.719 0.982
9 As 0.000 0.500 0.500
10 As 0.500 0.500 0.500
11 As 0.500 0.500 0.000
12 Te 0.500 0.000 0.500
13 Te 0.500 0.000 0.000
14 Te 0.000 0.000 0.000
15 Te 0.000 0.000 0.500
16 Ga 0.000 0.500 0.000

## Properties
Its uncorrected formation energy is -1306 meV per atom. The space-group type is R-3m (166).


# 6
Ni4PdPt2: optimized geometry, PBE.

a = 4.679 Å, b = 4.679 Å, c = 5.705 Å
α = 114.21°, β = 114.21°, γ = 90.00°
Each line ends with the local moment (μB).
Element x y z (fractional)
1 Pt 0.358 0.358 0.715  0.17
2 Pt 0.642 0.642 0.285  0.17
3 Ni 0.000 0.500 0.000  0.55
4 Ni 0.250 0.750 0.500  0.69
5 Ni 0.750 0.250 0.500  0.69
6 Ni 0.500 0.000 0.000  0.55
7 Pd 0.000 0.000 0.000  0.21

## Properties
For the relative energy among the computed polymorphs, the calculation gives 0.000 eV per atom. Its formation energy is 431.9 meV/atom. The space-group type is I4/mmm (139).


# 7
GaIr2: optimized geometry, PBE.

a = 2.837 Å, b = 13.098 Å, c = 4.685 Å
α = 90.00°, β = 90.00°, γ = 90.00°
Element x y z (fractional)
1 Ga 0.000 0.657 0.165
2 Ga 0.000 0.843 0.665
3 Ga 0.000 0.343 0.165
4 Ga 0.000 0.157 0.665
5 Ir 0.500 0.677 0.670
6 Ir 0.000 0.500 0.514
7 Ir 0.500 0.177 0.170
8 Ir 0.000 0.000 0.014
9 Ir 0.500 0.000 0.488
10 Ir 0.500 0.500 0.988
11 Ir 0.500 0.323 0.670
12 Ir 0.500 0.823 0.170

## Properties
Its formation energy is -195.5 meV/atom. The space-group type is Amm2 (38).


# 8
DyHoSc2Te4: optimized geometry, PBE.

a = 4.231 Å, b = 7.379 Å, c = 7.401 Å
α = 109.12°, β = 90.00°, γ = 90.00°
Element x y z (fractional)
1 Te 0.500 0.254 0.264
2 Te 0.500 0.746 0.736
3 Te 0.000 0.755 0.264
4 Te 0.000 0.245 0.736
5 Ho 0.000 0.000 0.000
6 Sc 0.500 0.000 0.500
7 Sc 0.000 0.500 0.500
8 Dy 0.500 0.500 0.000

## Properties
Its uncorrected formation energy is -1179 meV per atom. The space-group type is P2/m (10).